! PBE Rb2CaAlGa, relaxed; values from VASP
! * Fermi-level density of states: 0.59 states/eV/atom
! * density: 2.06 g/cm3
! * calculated formation energy: 36.1 kJ per mole of atoms
! * SG: P4/mmm, No. 123
! * E_tot: -8.83 eV/cell
&SYSTEM
  ibrav = 0, nat = 5, ntyp = 4
/
ATOMIC_SPECIES
Rb 85.47 Rb.upf
Ca 40.08 Ca.upf
Al 26.98 Al.upf
Ga 69.72 Ga.upf
CELL_PARAMETERS angstrom
7.095 0.000 0.000
0.000 7.095 0.000
0.000 0.000 4.923
ATOMIC_POSITIONS angstrom
Rb 0.000 3.548 0.000
Rb 3.548 0.000 0.000
Ca 0.000 0.000 2.462
Al 3.548 3.548 0.000
Ga 3.548 3.548 2.462

---

! PBE CaAlGa2S6, relaxed; values from VASP
! * density: 2.64 g/cm3
! * SG: C2/c, No. 15
! * E_tot: -91.17 eV/cell
&SYSTEM
  ibrav = 0, nat = 20, ntyp = 4
/
ATOMIC_SPECIES
Ca 40.08 Ca.upf
Al 26.98 Al.upf
Ga 69.72 Ga.upf
S 32.06 S.upf
CELL_PARAMETERS angstrom
6.313 -6.198 0.000
6.313 6.198 0.000
-3.145 0.000 6.410
ATOMIC_POSITIONS angstrom
Ca 3.954 4.656 4.808
Ca 5.527 -4.656 1.603
Al 5.527 3.965 1.603
Al 3.954 -3.965 4.808
Ga 1.337 0.989 5.510
Ga 2.909 -0.989 2.305
Ga 6.572 0.989 4.105
Ga 8.144 -0.989 0.900
S -0.629 0.785 4.327
S 1.874 3.148 5.990
S 0.944 -0.785 1.122
S 2.983 0.708 3.842
S 6.035 3.148 3.626
S 4.555 -0.708 0.637
S 4.926 0.708 5.773
S 3.446 -3.148 2.784
S 6.498 -0.708 2.568
S 8.538 0.785 5.288
S 7.607 -3.148 0.421
S 10.110 -0.785 2.083

---

! PBE CaAlGaSb2, relaxed; values from VASP
! * Fermi-level density of states: 0.48 states/eV/atom
! * density: 3.46 g/cm3
! * SG: P4/mmm, No. 123
! * E_tot: -13.77 eV/cell
&SYSTEM
  ibrav = 0, nat = 5, ntyp = 4
/
ATOMIC_SPECIES
Ca 40.08 Ca.upf
Al 26.98 Al.upf
Ga 69.72 Ga.upf
Sb 121.76 Sb.upf
CELL_PARAMETERS angstrom
5.721 0.000 0.000
0.000 5.721 0.000
0.000 0.000 5.581
ATOMIC_POSITIONS angstrom
Ca 0.000 0.000 0.000
Al 2.860 2.860 2.791
Ga 0.000 0.000 2.791
Sb 0.000 2.860 0.000
Sb 2.860 0.000 0.000

---

! PBE CaAlGa2Se6, relaxed; values from VASP
! * Fermi-level density of states: 0.03 states/eV/atom
! * density: 3.89 g/cm3
! * SG: C2/c, No. 15
! * E_tot: -81.22 eV/cell
&SYSTEM
  ibrav = 0, nat = 20, ntyp = 4
/
ATOMIC_SPECIES
Ca 40.08 Ca.upf
Al 26.98 Al.upf
Ga 69.72 Ga.upf
Se 78.96 Se.upf
CELL_PARAMETERS angstrom
6.697 -6.453 0.000
6.697 6.453 0.000
-3.277 0.000 6.724
ATOMIC_POSITIONS angstrom
Ca 4.239 4.800 5.043
Ca 5.877 -4.800 1.681
Al 5.877 4.157 1.681
Al 4.239 -4.157 5.043
Ga 1.476 1.016 5.754
Ga 3.115 -1.016 2.391
Ga 7.001 1.016 4.333
Ga 8.640 -1.016 0.971
Se -0.617 0.765 4.495
Se 1.955 3.339 6.249
Se 1.022 -0.765 1.132
Se 3.223 0.826 3.975
Se 6.523 3.339 3.838
Se 4.862 -0.826 0.612
Se 5.254 0.826 6.112
Se 3.593 -3.339 2.886
Se 6.893 -0.826 2.750
Se 9.094 0.765 5.592
Se 8.162 -3.339 0.476
Se 10.733 -0.765 2.230

---

! PBE CaSmAl2Ga2, relaxed; values from VASP
! * Fermi-level density of states: 0.28 states/eV/atom
! * density: 4.71 g/cm3
! * calculated formation energy: -46.4 kJ per mole of atoms
! * SG: P-3m1, No. 164
! * E_tot: -23.15 eV/cell
&SYSTEM
  ibrav = 0, nat = 6, ntyp = 4
/
ATOMIC_SPECIES
Ca 40.08 Ca.upf
Sm 150.36 Sm.upf
Al 26.98 Al.upf
Ga 69.72 Ga.upf
CELL_PARAMETERS angstrom
4.415 0.000 0.000
-2.207 3.823 0.000
0.000 0.000 8.024
ATOMIC_POSITIONS angstrom
Ca 0.000 0.000 0.000
Sm 0.000 0.000 4.012
Al 0.000 2.549 5.930
Al 2.207 1.274 2.094
Ga 0.000 2.549 2.088
Ga 2.207 1.274 5.936

---

! PBE Ca2Sm2AlGa4, relaxed; values from VASP
! * Fermi-level density of states: 0.77 states/eV/atom
! * density: 4.92 g/cm3
! * calculated formation energy: -25.1 kJ per mole of atoms
! * SG: I4/mmm, No. 139
! * E_tot: -31.63 eV/cell
&SYSTEM
  ibrav = 0, nat = 9, ntyp = 4
/
ATOMIC_SPECIES
Ca 40.08 Ca.upf
Sm 150.36 Sm.upf
Al 26.98 Al.upf
Ga 69.72 Ga.upf
CELL_PARAMETERS angstrom
-3.596 3.596 4.478
3.596 -3.596 4.478
3.596 3.596 -4.478
ATOMIC_POSITIONS angstrom
Ca 3.596 0.000 2.239
Ca 0.000 3.596 2.239
Sm 0.000 0.000 1.630
Sm 0.000 0.000 7.327
Al 0.000 0.000 4.478
Ga 1.838 1.838 0.000
Ga 1.758 -1.758 4.478
Ga -1.758 1.758 4.478
Ga 1.758 1.758 4.478

---

! PBE SrCaAl2Ga, relaxed; values from VASP
! * Fermi-level density of states: 0.52 states/eV/atom
! * density: 3.12 g/cm3
! * calculated formation energy: -21.9 kJ per mole of atoms
! * SG: Imm2, No. 44
! * E_tot: -30.66 eV/cell
&SYSTEM
  ibrav = 0, nat = 10, ntyp = 4
/
ATOMIC_SPECIES
Sr 87.62 Sr.upf
Ca 40.08 Ca.upf
Al 26.98 Al.upf
Ga 69.72 Ga.upf
CELL_PARAMETERS angstrom
4.530 0.000 0.000
0.000 4.743 0.000
0.000 0.000 12.437
ATOMIC_POSITIONS angstrom
Sr 0.000 0.000 0.000
Sr 2.265 2.371 6.218
Ca 0.000 2.371 9.400
Ca 2.265 0.000 3.182
Al 0.000 0.000 7.592
Al 0.000 2.371 3.104
Al 2.265 0.000 9.323
Al 2.265 2.371 1.374
Ga 0.000 0.000 5.027
Ga 2.265 2.371 11.245

---

! PBE SrCaAlGa, relaxed; values from VASP
! * Fermi-level density of states: 0.52 states/eV/atom
! * density: 3.36 g/cm3
! * calculated formation energy: -24.3 kJ per mole of atoms
! * SG: F-43m, No. 216
! * E_tot: -45.85 eV/cell
! * distance to the lowest polymorph of the same formula: 0.25 eV per formula unit
&SYSTEM
  ibrav = 0, nat = 16, ntyp = 4
/
ATOMIC_SPECIES
Sr 87.62 Sr.upf
Ca 40.08 Ca.upf
Al 26.98 Al.upf
Ga 69.72 Ga.upf
CELL_PARAMETERS angstrom
7.624 0.000 0.000
0.000 7.624 0.000
0.000 0.000 7.624
ATOMIC_POSITIONS angstrom
Sr 0.000 0.000 0.000
Sr 0.000 3.812 3.812
Sr 3.812 0.000 3.812
Sr 3.812 3.812 0.000
Ca 0.000 0.000 3.812
Ca 0.000 3.812 0.000
Ca 3.812 0.000 0.000
Ca 3.812 3.812 3.812
Al 1.906 1.906 1.906
Al 1.906 5.718 5.718
Al 5.718 1.906 5.718
Al 5.718 5.718 1.906
Ga 1.906 1.906 5.718
Ga 1.906 5.718 1.906
Ga 5.718 1.906 1.906
Ga 5.718 5.718 5.718

---

! PBE SrCaAlGa, relaxed; values from VASP
! * Fermi-level density of states: 0.58 states/eV/atom
! * density: 3.14 g/cm3
! * calculated formation energy: -30.4 kJ per mole of atoms
! * SG: Amm2, No. 38
! * E_tot: -23.43 eV/cell
! * distance to the lowest polymorph of the same formula: 0.00 eV per formula unit
&SYSTEM
  ibrav = 0, nat = 8, ntyp = 4
/
ATOMIC_SPECIES
Sr 87.62 Sr.upf
Ca 40.08 Ca.upf
Al 26.98 Al.upf
Ga 69.72 Ga.upf
CELL_PARAMETERS angstrom
4.479 0.000 0.000
0.000 4.344 0.000
0.000 0.000 12.216
ATOMIC_POSITIONS angstrom
Sr 0.000 0.000 0.000
Sr 0.000 2.172 6.108
Ca 2.239 0.000 3.552
Ca 2.239 2.172 9.660
Al 0.000 0.000 8.717
Al 0.000 2.172 2.610
Ga 2.239 0.000 7.245
Ga 2.239 2.172 1.138

---

! PBE SrCaAl2Ga2, relaxed; values from VASP
! * Fermi-level density of states: 0.23 states/eV/atom
! * density: 3.66 g/cm3
! * calculated formation energy: -36.5 kJ per mole of atoms
! * SG: P-3m1, No. 164
! * E_tot: -19.49 eV/cell
&SYSTEM
  ibrav = 0, nat = 6, ntyp = 4
/
ATOMIC_SPECIES
Sr 87.62 Sr.upf
Ca 40.08 Ca.upf
Al 26.98 Al.upf
Ga 69.72 Ga.upf
CELL_PARAMETERS angstrom
4.503 0.000 0.000
-2.251 3.900 0.000
0.000 0.000 8.287
ATOMIC_POSITIONS angstrom
Sr 0.000 0.000 0.000
Ca 0.000 0.000 4.144
Al 0.000 2.600 6.012
Al 2.251 1.300 2.276
Ga 0.000 2.600 2.292
Ga 2.251 1.300 5.995

---

! PBE CaTbAlGa, relaxed; values from VASP
! * Fermi-level density of states: 0.72 states/eV/atom
! * density: 5.07 g/cm3
! * calculated formation energy: -35.8 kJ per mole of atoms
! * SG: F-43m, No. 216
! * E_tot: -59.54 eV/cell
&SYSTEM
  ibrav = 0, nat = 16, ntyp = 4
/
ATOMIC_SPECIES
Ca 40.08 Ca.upf
Tb 158.93 Tb.upf
Al 26.98 Al.upf
Ga 69.72 Ga.upf
CELL_PARAMETERS angstrom
7.292 0.000 0.000
0.000 7.292 0.000
0.000 0.000 7.292
ATOMIC_POSITIONS angstrom
Ca 0.000 0.000 0.000
Ca 0.000 3.646 3.646
Ca 3.646 0.000 3.646
Ca 3.646 3.646 0.000
Tb 0.000 0.000 3.646
Tb 0.000 3.646 0.000
Tb 3.646 0.000 0.000
Tb 3.646 3.646 3.646
Al 1.823 1.823 5.469
Al 1.823 5.469 1.823
Al 5.469 1.823 1.823
Al 5.469 5.469 5.469
Ga 1.823 1.823 1.823
Ga 1.823 5.469 5.469
Ga 5.469 1.823 5.469
Ga 5.469 5.469 1.823

---

! PBE CaTmAlGa, relaxed; values from VASP
! * Fermi-level density of states: 0.64 states/eV/atom
! * density: 5.38 g/cm3
! * calculated formation energy: -34.5 kJ per mole of atoms
! * SG: F-43m, No. 216
! * E_tot: -58.69 eV/cell
&SYSTEM
  ibrav = 0, nat = 16, ntyp = 4
/
ATOMIC_SPECIES
Ca 40.08 Ca.upf
Tm 168.93 Tm.upf
Al 26.98 Al.upf
Ga 69.72 Ga.upf
CELL_PARAMETERS angstrom
7.228 0.000 0.000
0.000 7.228 0.000
0.000 0.000 7.228
ATOMIC_POSITIONS angstrom
Ca 0.000 0.000 0.000
Ca 0.000 3.614 3.614
Ca 3.614 0.000 3.614
Ca 3.614 3.614 0.000
Tm 0.000 0.000 3.614
Tm 0.000 3.614 0.000
Tm 3.614 0.000 0.000
Tm 3.614 3.614 3.614
Al 1.807 1.807 1.807
Al 1.807 5.421 5.421
Al 5.421 1.807 5.421
Al 5.421 5.421 1.807
Ga 1.807 1.807 5.421
Ga 1.807 5.421 1.807
Ga 5.421 1.807 1.807
Ga 5.421 5.421 5.421

---

! PBE Ca2TmAl3Ga12, relaxed; values from VASP
! * Fermi-level density of states: 0.34 states/eV/atom
! * density: 4.91 g/cm3
! * calculated formation energy: -8.0 kJ per mole of atoms
! * SG: R-3m, No. 166
! * E_tot: -57.52 eV/cell
&SYSTEM
  ibrav = 0, nat = 18, ntyp = 4
/
ATOMIC_SPECIES
Ca 40.08 Ca.upf
Tm 168.93 Tm.upf
Al 26.98 Al.upf
Ga 69.72 Ga.upf
CELL_PARAMETERS angstrom
3.380 1.951 9.979
-3.380 1.951 9.979
0.000 -3.903 9.979
ATOMIC_POSITIONS angstrom
Ca 0.000 0.000 4.154
Ca 0.000 0.000 25.784
Tm 0.000 0.000 14.969
Al -1.690 -0.976 9.979
Al -1.690 0.976 19.958
Al 0.000 1.951 9.979
Ga -1.952 -1.127 13.063
Ga 0.000 -2.332 8.587
Ga -2.020 1.166 8.587
Ga -2.020 -1.166 21.350
Ga 0.000 -2.254 16.874
Ga -1.952 1.127 16.874
Ga 1.952 -1.127 13.063
Ga 0.000 2.254 13.063
Ga 2.020 1.166 8.587
Ga 2.020 -1.166 21.350
Ga 0.000 2.332 21.350
Ga 1.952 1.127 16.874

---

! PBE CaAlZn2Ga, relaxed; values from VASP
! * Fermi-level density of states: 0.40 states/eV/atom
! * density: 4.59 g/cm3
! * calculated formation energy: -30.9 kJ per mole of atoms
! * SG: Imm2, No. 44
! * E_tot: -25.84 eV/cell
&SYSTEM
  ibrav = 0, nat = 10, ntyp = 4
/
ATOMIC_SPECIES
Ca 40.08 Ca.upf
Al 26.98 Al.upf
Zn 65.41 Zn.upf
Ga 69.72 Ga.upf
CELL_PARAMETERS angstrom
4.098 0.000 0.000
0.000 4.149 0.000
0.000 0.000 11.398
ATOMIC_POSITIONS angstrom
Ca 0.000 0.000 0.000
Ca 2.049 2.074 5.699
Al 0.000 2.074 8.531
Al 2.049 0.000 2.832
Zn 0.000 0.000 6.960
Zn 0.000 2.074 2.864
Zn 2.049 0.000 8.563
Zn 2.049 2.074 1.261
Ga 0.000 0.000 4.453
Ga 2.049 2.074 10.152

---

! PBE CaAlZn4Ga2, relaxed; values from VASP
! * Fermi-level density of states: 0.40 states/eV/atom
! * density: 5.18 g/cm3
! * calculated formation energy: -7.7 kJ per mole of atoms
! * SG: R-3m, No. 166
! * E_tot: -17.53 eV/cell
&SYSTEM
  ibrav = 0, nat = 8, ntyp = 4
/
ATOMIC_SPECIES
Ca 40.08 Ca.upf
Al 26.98 Al.upf
Zn 65.41 Zn.upf
Ga 69.72 Ga.upf
CELL_PARAMETERS angstrom
2.191 1.265 9.027
-2.191 1.265 9.027
0.000 -2.530 9.027
ATOMIC_POSITIONS angstrom
Ca 0.000 0.000 0.000
Al 0.000 0.000 13.541
Zn 0.000 0.000 3.547
Zn 0.000 0.000 10.876
Zn 0.000 0.000 16.206
Zn 0.000 0.000 23.535
Ga 0.000 0.000 6.963
Ga 0.000 0.000 20.118

---

! PBE CaAlZnGa2, relaxed; values from VASP
! * Fermi-level density of states: 0.15 states/eV/atom
! * density: 4.60 g/cm3
! * calculated formation energy: -35.7 kJ per mole of atoms
! * SG: I-4m2, No. 119
! * E_tot: -29.85 eV/cell
&SYSTEM
  ibrav = 0, nat = 10, ntyp = 4
/
ATOMIC_SPECIES
Ca 40.08 Ca.upf
Al 26.98 Al.upf
Zn 65.41 Zn.upf
Ga 69.72 Ga.upf
CELL_PARAMETERS angstrom
4.198 0.000 0.000
0.000 4.198 0.000
0.000 0.000 11.143
ATOMIC_POSITIONS angstrom
Ca 0.000 0.000 0.000
Ca 2.099 2.099 5.572
Al 0.000 2.099 2.786
Al 2.099 0.000 8.357
Zn 0.000 2.099 8.357
Zn 2.099 0.000 2.786
Ga 0.000 0.000 4.328
Ga 0.000 0.000 6.816
Ga 2.099 2.099 1.244
Ga 2.099 2.099 9.899

---

! PBE CaAlZn2Ga4, relaxed; values from VASP
! * Fermi-level density of states: 0.37 states/eV/atom
! * density: 5.06 g/cm3
! * calculated formation energy: -12.7 kJ per mole of atoms
! * SG: R-3m, No. 166
! * E_tot: -21.45 eV/cell
&SYSTEM
  ibrav = 0, nat = 8, ntyp = 4
/
ATOMIC_SPECIES
Ca 40.08 Ca.upf
Al 26.98 Al.upf
Zn 65.41 Zn.upf
Ga 69.72 Ga.upf
CELL_PARAMETERS angstrom
2.252 1.300 8.899
-2.252 1.300 8.899
0.000 -2.601 8.899
ATOMIC_POSITIONS angstrom
Ca 0.000 0.000 0.000
Al 0.000 0.000 13.348
Zn 0.000 0.000 7.040
Zn 0.000 0.000 19.656
Ga 0.000 0.000 3.416
Ga 0.000 0.000 10.699
Ga 0.000 0.000 15.997
Ga 0.000 0.000 23.280

---

! PBE Ca3AlZn2Ga6, relaxed; values from VASP
! * Fermi-level density of states: 0.47 states/eV/atom
! * density: 4.33 g/cm3
! * calculated formation energy: -17.6 kJ per mole of atoms
! * SG: P-3m1, No. 164
! * E_tot: -32.65 eV/cell
&SYSTEM
  ibrav = 0, nat = 12, ntyp = 4
/
ATOMIC_SPECIES
Ca 40.08 Ca.upf
Al 26.98 Al.upf
Zn 65.41 Zn.upf
Ga 69.72 Ga.upf
CELL_PARAMETERS angstrom
5.539 0.000 0.000
-2.770 4.797 0.000
0.000 0.000 10.051
ATOMIC_POSITIONS angstrom
Ca 0.000 0.000 0.000
Ca 0.000 3.198 5.784
Ca 2.770 1.599 4.266
Al 0.000 0.000 5.025
Zn 0.000 3.198 0.457
Zn 2.770 1.599 9.594
Ga 0.000 1.598 2.754
Ga -1.385 3.998 2.754
Ga 1.384 0.799 7.296
Ga 1.385 3.998 2.754
Ga 4.155 0.799 7.296
Ga 2.770 3.199 7.296

---

! PBE Ca2AlZn6Ga, relaxed; values from VASP
! * Fermi-level density of states: 0.32 states/eV/atom
! * density: 4.55 g/cm3
! * calculated formation energy: -9.4 kJ per mole of atoms
! * SG: R-3m, No. 166
! * E_tot: -38.78 eV/cell
&SYSTEM
  ibrav = 0, nat = 20, ntyp = 4
/
ATOMIC_SPECIES
Ca 40.08 Ca.upf
Al 26.98 Al.upf
Zn 65.41 Zn.upf
Ga 69.72 Ga.upf
CELL_PARAMETERS angstrom
3.232 1.866 11.480
-3.232 1.866 11.480
0.000 -3.732 11.480
ATOMIC_POSITIONS angstrom
Ca 0.000 0.000 4.899
Ca 0.000 0.000 10.672
Ca 0.000 0.000 23.768
Ca 0.000 0.000 29.541
Al 0.000 0.000 0.000
Al 0.000 0.000 17.220
Zn -1.901 -1.098 15.377
Zn 0.000 -2.298 13.588
Zn -1.990 1.149 13.588
Zn -1.990 -1.149 20.852
Zn 0.000 -2.196 19.063
Zn -1.901 1.098 19.063
Zn 1.901 -1.098 15.377
Zn 0.000 2.196 15.377
Zn 1.990 1.149 13.588
Zn 1.990 -1.149 20.852
Zn 0.000 2.298 20.852
Zn 1.901 1.098 19.063
Ga 0.000 0.000 14.005
Ga 0.000 0.000 20.435

---

! PBE CaGdAl4, relaxed; values from VASP
! * Fermi-level density of states: 0.63 states/eV/atom
! * density: 4.03 g/cm3
! * calculated formation energy: -39.8 kJ per mole of atoms
! * SG: F-43m, No. 216
! * E_tot: -33.53 eV/cell
&SYSTEM
  ibrav = 0, nat = 6, ntyp = 3
/
ATOMIC_SPECIES
Ca 40.08 Ca.upf
Gd 157.25 Gd.upf
Al 26.98 Al.upf
CELL_PARAMETERS angstrom
0.000 3.975 3.975
3.975 0.000 3.975
3.975 3.975 0.000
ATOMIC_POSITIONS angstrom
Ca 0.000 0.000 0.000
Gd 5.963 5.963 5.963
Al 2.984 2.984 2.984
Al 4.966 4.966 2.984
Al 4.966 2.984 4.966
Al 2.984 4.966 4.966